{"formula": "KRbZnF4", "functional": "GGA-PBE", "state": "optimized geometry", "lattice": [[-2.0898, 2.0898, 6.7937], [2.0898, -2.0898, 6.7937], [2.0898, 2.0898, -6.7937]], "species": ["K", "Rb", "Zn", "F", "F", "F", "F"], "fractional_positions": [[0.0000, 0.0000, 0.0000], [0.2907, 0.2907, 0.0000], [0.6425, 0.6425, 0.0000], [0.1399, 0.6399, 0.5000], [0.4924, 0.4924, 0.0000], [0.6399, 0.1399, 0.5000], [0.7943, 0.7943, 0.0000]], "space_group": "I4mm, No. 107", "energy_ev_per_atom": -4.1564, "vol_a3_per_fu": 118.7, "raw_formation_energy_ev_per_atom": -2.6100}

{"formula": "HgTeAsN2", "functional": "GGA-PBE", "state": "optimized geometry", "lattice": [[3.9375, 0.0000, 0.0000], [0.0000, 3.9375, 0.0000], [0.0000, 0.0000, 6.1449]], "species": ["Hg", "Te", "As", "N", "N"], "fractional_positions": [[0.0000, 0.0000, 0.0000], [0.5000, 0.5000, 0.0000], [0.5000, 0.5000, 0.5000], [0.0000, 0.5000, 0.5000], [0.5000, 0.0000, 0.5000]], "space_group": "P4/mmm, No. 123", "energy_ev_per_atom": -3.6486, "polymorph_energy_mev_per_atom": 0, "vol_a3_per_fu": 95.3, "raw_formation_energy_ev_per_atom": 1.3002}

{"formula": "Be3NbCo", "functional": "GGA-PBE", "state": "optimized geometry", "lattice": [[3.8423, 0.0000, 0.0000], [0.0000, 3.8423, 0.0000], [0.0000, 0.0000, 3.8423]], "species": ["Be", "Be", "Be", "Nb", "Co"], "fractional_positions": [[0.0000, 0.0000, 0.5000], [0.0000, 0.5000, 0.0000], [0.5000, 0.0000, 0.0000], [0.5000, 0.5000, 0.5000], [0.0000, 0.0000, 0.0000]], "space_group": "Pm-3m, No. 221", "energy_ev_per_atom": -5.4889, "polymorph_energy_mev_per_atom": 353, "ef_kcal_per_mol_atoms": 4.195, "vol_a3_per_fu": 56.7}

Copy entry 3 word for word.
{"formula": "Be3NbCo", "functional": "GGA-PBE", "state": "optimized geometry", "lattice": [[3.8423, 0.0000, 0.0000], [0.0000, 3.8423, 0.0000], [0.0000, 0.0000, 3.8423]], "species": ["Be", "Be", "Be", "Nb", "Co"], "fractional_positions": [[0.0000, 0.0000, 0.5000], [0.0000, 0.5000, 0.0000], [0.5000, 0.0000, 0.0000], [0.5000, 0.5000, 0.5000], [0.0000, 0.0000, 0.0000]], "space_group": "Pm-3m, No. 221", "energy_ev_per_atom": -5.4889, "polymorph_energy_mev_per_atom": 353, "ef_kcal_per_mol_atoms": 4.195, "vol_a3_per_fu": 56.7}